Run one
Material: PmGa3
Method: DFT, GGA-PBE
State: optimized geometry

a = 4.949 Å, b = 4.949 Å, c = 4.949 Å
α = 60.00°, β = 60.00°, γ = 60.00°
Fractional coordinates of all 4 atoms:
Pm: 0.500 0.500 0.500
Ga: 0.250 0.250 0.250
Ga: 0.000 0.000 0.000
Ga: 0.750 0.750 0.750

---

Run two
Material: PmGa3
Method: DFT, GGA-PBE
State: optimized geometry

a = 4.292 Å, b = 4.294 Å, c = 5.517 Å
α = 112.90°, β = 112.89°, γ = 90.00°
Fractional coordinates of all 4 atoms:
Pm: 0.000 0.917 0.000
Ga: 0.250 0.667 0.500
Ga: 0.750 0.167 0.500
Ga: 0.500 0.417 0.000

---

List of relative energies, unit meV per atom: run one 118; run two 0

---

Run one
Material: PmGa2
Method: DFT, GGA-PBE
State: optimized geometry

a = 3.427 Å, b = 3.427 Å, c = 6.125 Å
α = 106.25°, β = 106.25°, γ = 90.00°
Fractional coordinates of all 3 atoms:
Ga: 0.689 0.689 0.378
Ga: 0.311 0.311 0.622
Pm: 0.000 0.000 0.000

---

Run two
Material: PmGa2
Method: DFT, GGA-PBE
State: optimized geometry

a = 4.322 Å, b = 5.926 Å, c = 5.926 Å
α = 74.21°, β = 68.61°, γ = 68.61°
Fractional coordinates of all 6 atoms:
Ga: 0.163 0.780 0.893
Ga: 0.163 0.393 0.280
Pm: 0.561 0.189 0.689
Pm: 0.439 0.811 0.311
Ga: 0.837 0.607 0.720
Ga: 0.837 0.220 0.107

---

List of relative energies, unit meV per atom: run one 249; run two 0

---

Run one
Material: PmPr3Ga
Method: DFT, GGA-PBE
State: optimized geometry

a = 7.682 Å, b = 7.682 Å, c = 7.680 Å
α = 105.72°, β = 117.79°, γ = 105.24°
Fractional coordinates of all 10 atoms:
Pr: 0.719 0.440 0.159
Pr: 0.845 0.053 0.277
Pr: 0.155 0.947 0.723
Pm: 0.292 0.939 0.232
Ga: 0.624 0.751 0.375
Pm: 0.708 0.061 0.768
Pr: 0.281 0.560 0.841
Pr: 0.776 0.568 0.723
Ga: 0.376 0.249 0.625
Pr: 0.224 0.432 0.277

---

Run two
Material: PmPr3Ga
Method: DFT, GGA-PBE
State: optimized geometry

a = 3.787 Å, b = 8.789 Å, c = 10.017 Å
α = 103.17°, β = 100.93°, γ = 90.04°
Fractional coordinates of all 10 atoms:
Pr: 0.413 0.809 0.087
Ga: 0.020 0.681 0.299
Pr: 0.218 0.290 0.694
Pr: 0.231 0.733 0.718
Pr: 0.612 0.935 0.482
Pm: 0.825 0.071 0.903
Pm: 0.006 0.153 0.272
Ga: 0.810 0.544 0.876
Pr: 0.599 0.492 0.458
Pr: 0.418 0.415 0.088

---

List of relative energies, unit meV per atom: run one 121; run two 0